Entry 1:
An optimized crystal structure of KBa2O6. Source: Alexandria via LeMat-Bulk, functional PBE-GGA.

Calculated values
V: 162 Å³/cell
Uncorrected formation energy: -1.43 eV/atom

abc: 3.712 7.096 7.096
angles: 120.00 90.00 90.00
Element x y z (fractional)
O1 0.000 0.603 0.603
O2 0.000 0.397 0.397
O3 0.000 0.000 0.397
O4 0.000 0.603 0.000
O5 0.000 0.000 0.603
O6 0.000 0.397 0.000
K1 0.000 0.000 0.000
Ba1 0.500 0.333 0.667
Ba2 0.500 0.667 0.333

***

Entry 2:
An optimized crystal structure of K2BaO2. Source: Alexandria via LeMat-Bulk, functional PBE-GGA.

Calculated values
V: 106 Å³/cell
Uncorrected formation energy: -1.07 eV/atom

abc: 4.912 4.912 5.615
angles: 64.06 64.06 90.00
Element x y z (fractional)
O1 0.250 0.750 0.500
O2 0.750 0.250 0.500
K1 0.658 0.658 0.685
K2 0.342 0.342 0.315
Ba1 0.000 0.000 0.000

***

Entry 3:
An optimized crystal structure of KBa3O3. Source: Alexandria via LeMat-Bulk, functional PBE-GGA.

Calculated values
V: 564 Å³/cell
Uncorrected formation energy: -1.98 eV/atom

abc: 7.736 7.736 11.770
angles: 70.81 70.81 60.00
Element x y z (fractional)
Ba1 0.548 0.208 0.369
Ba2 0.452 0.792 0.631
Ba3 0.208 0.875 0.369
Ba4 0.792 0.125 0.631
Ba5 0.875 0.548 0.369
Ba6 0.125 0.452 0.631
O1 0.205 0.530 0.394
O2 0.871 0.205 0.394
O3 0.129 0.795 0.606
O4 0.470 0.129 0.606
O5 0.530 0.871 0.394
O6 0.795 0.470 0.606
K1 0.327 0.327 0.018
K2 0.673 0.673 0.982

***

Entry 4:
An optimized crystal structure of K2Ba4O. Source: Alexandria via LeMat-Bulk, functional PBE-GGA.

Calculated values
V: 390 Å³/cell
Uncorrected formation energy: -0.52 eV/atom

abc: 5.890 5.890 11.982
angles: 75.77 75.77 90.00
Element x y z (fractional)
O1 0.000 0.000 0.000
Ba1 0.000 0.500 0.000
Ba2 0.883 0.883 0.235
Ba3 0.500 0.000 0.000
Ba4 0.117 0.117 0.765
K1 0.327 0.327 0.347
K2 0.673 0.673 0.653